DFT (GGA-PBE) results for an optimized crystal structure of Cu2HgPd8.

Values from the calculation:
Uncorrected energy, eV per atom: -4.63
SG: C2/m, No. 12
Distance to the lowest polymorph of the same formula, eV/atom: 0.000
ΔH_f (0 K), eV/atom: -0.078

Geometry as CIF:
```
data_Cu2HgPd8
_cell_length_a 3.9532
_cell_length_b 6.3193
_cell_length_c 7.3323
_cell_angle_alpha 106.11
_cell_angle_beta 105.64
_cell_angle_gamma 90.00
_symmetry_space_group_name_H-M 'P 1'
_symmetry_Int_Tables_number 1
loop_
_symmetry_equiv_pos_as_xyz
'x,y,z'
loop_
_atom_site_label
_atom_site_type_symbol
_atom_site_fract_x
_atom_site_fract_y
_atom_site_fract_z
Cu1 Cu 0.2278 0.6379 0.4556
Cu2 Cu 0.7722 0.3621 0.5444
Hg1 Hg 0.5000 0.0000 0.0000
Pd1 Pd 0.5977 0.4643 0.1955
Pd2 Pd 0.3153 0.0862 0.6307
Pd3 Pd 0.1440 0.2020 0.2879
Pd4 Pd 0.0494 0.7236 0.0989
Pd5 Pd 0.8560 0.7980 0.7121
Pd6 Pd 0.6847 0.9138 0.3693
Pd7 Pd 0.4023 0.5357 0.8045
Pd8 Pd 0.9506 0.2764 0.9011
```

=====

DFT (GGA-PBE) results for an optimized crystal structure of CuHg2Pd5.

Values from the calculation:
Uncorrected energy, eV per atom: -3.94
SG: I4/mmm, No. 139
ΔH_f (0 K), eV/atom: -0.102

Geometry as CIF:
```
data_CuHg2Pd5
_cell_length_a 5.6733
_cell_length_b 5.6733
_cell_length_c 5.6732
_cell_angle_alpha 118.93
_cell_angle_beta 118.93
_cell_angle_gamma 91.87
_symmetry_space_group_name_H-M 'P 1'
_symmetry_Int_Tables_number 1
loop_
_symmetry_equiv_pos_as_xyz
'x,y,z'
loop_
_atom_site_label
_atom_site_type_symbol
_atom_site_fract_x
_atom_site_fract_y
_atom_site_fract_z
Cu1 Cu 0.7778 0.7779 0.0000
Hg1 Hg 0.2779 0.7778 0.5001
Hg2 Hg 0.7779 0.2778 0.4999
Pd1 Pd 0.2779 0.2779 0.5001
Pd2 Pd 0.2779 0.7779 0.0000
Pd3 Pd 0.7778 0.2779 0.0000
Pd4 Pd 0.7778 0.7779 0.4999
Pd5 Pd 0.2779 0.2779 0.0000
```

=====

DFT (GGA-PBE) results for an optimized crystal structure of Cu6HgPd6.

Values from the calculation:
Uncorrected energy, eV per atom: -4.38
SG: P6/mmm, No. 191
ΔH_f (0 K), eV/atom: -0.070

Geometry as CIF:
```
data_Cu6HgPd6
_cell_length_a 4.9617
_cell_length_b 4.9620
_cell_length_c 8.8661
_cell_angle_alpha 90.00
_cell_angle_beta 90.00
_cell_angle_gamma 120.00
_symmetry_space_group_name_H-M 'P 1'
_symmetry_Int_Tables_number 1
loop_
_symmetry_equiv_pos_as_xyz
'x,y,z'
loop_
_atom_site_label
_atom_site_type_symbol
_atom_site_fract_x
_atom_site_fract_y
_atom_site_fract_z
Cu1 Cu 0.0000 0.5000 0.7503
Cu2 Cu 0.5000 0.0000 0.7503
Cu3 Cu 0.5000 0.5000 0.7503
Cu4 Cu 0.5000 0.0000 0.2497
Cu5 Cu 0.0000 0.5000 0.2497
Cu6 Cu 0.5000 0.5000 0.2497
Hg1 Hg 0.0000 0.0000 0.0000
Pd1 Pd 0.0000 0.0000 0.6509
Pd2 Pd 0.0000 0.0000 0.3491
Pd3 Pd 0.3333 0.6667 0.0000
Pd4 Pd 0.6667 0.3333 0.0000
Pd5 Pd 0.3333 0.6667 0.5000
Pd6 Pd 0.6667 0.3333 0.5000
```

=====

DFT (GGA-PBE) results for an optimized crystal structure of Cu3HgPd12.

Values from the calculation:
Uncorrected energy, eV per atom: -4.75
SG: P4/mmm, No. 123
ΔH_f (0 K), eV/atom: -0.065

Geometry as CIF:
```
data_Cu3HgPd12
_cell_length_a 3.9376
_cell_length_b 3.9376
_cell_length_c 15.6841
_cell_angle_alpha 90.00
_cell_angle_beta 90.00
_cell_angle_gamma 90.00
_symmetry_space_group_name_H-M 'P 1'
_symmetry_Int_Tables_number 1
loop_
_symmetry_equiv_pos_as_xyz
'x,y,z'
loop_
_atom_site_label
_atom_site_type_symbol
_atom_site_fract_x
_atom_site_fract_y
_atom_site_fract_z
Cu1 Cu 0.0000 0.0000 0.2561
Cu2 Cu 0.0000 0.0000 0.5000
Cu3 Cu 0.0000 0.0000 0.7439
Hg1 Hg 0.0000 0.0000 0.0000
Pd1 Pd 0.5000 0.5000 0.0000
Pd2 Pd 0.5000 0.5000 0.2572
Pd3 Pd 0.5000 0.5000 0.5000
Pd4 Pd 0.5000 0.5000 0.7428
Pd5 Pd 0.5000 0.0000 0.1352
Pd6 Pd 0.5000 0.0000 0.3785
Pd7 Pd 0.5000 0.0000 0.6215
Pd8 Pd 0.5000 0.0000 0.8648
Pd9 Pd 0.0000 0.5000 0.1352
Pd10 Pd 0.0000 0.5000 0.3785
Pd11 Pd 0.0000 0.5000 0.6215
Pd12 Pd 0.0000 0.5000 0.8648
```

=====

DFT (GGA-PBE) results for an optimized crystal structure of Cu3HgPd5.

Values from the calculation:
Uncorrected energy, eV per atom: -4.03
SG: C2/m, No. 12
ΔH_f (0 K), eV/atom: 0.253

Geometry as CIF:
```
data_Cu3HgPd5
_cell_length_a 6.9134
_cell_length_b 6.9134
_cell_length_c 8.9954
_cell_angle_alpha 62.00
_cell_angle_beta 62.00
_cell_angle_gamma 64.86
_symmetry_space_group_name_H-M 'P 1'
_symmetry_Int_Tables_number 1
loop_
_symmetry_equiv_pos_as_xyz
'x,y,z'
loop_
_atom_site_label
_atom_site_type_symbol
_atom_site_fract_x
_atom_site_fract_y
_atom_site_fract_z
Cu1 Cu 0.7492 0.7492 0.7467
Cu2 Cu 0.6182 0.6182 0.3746
Cu3 Cu 0.0000 0.0000 0.0000
Cu4 Cu 0.0000 0.0000 0.5000
Cu5 Cu 0.2508 0.2508 0.2533
Cu6 Cu 0.3818 0.3818 0.6254
Hg1 Hg 0.1683 0.1683 0.6169
Hg2 Hg 0.8317 0.8317 0.3831
Pd1 Pd 0.8899 0.2688 0.2138
Pd2 Pd 0.3270 0.6730 0.0000
Pd3 Pd 0.7096 0.7096 0.0508
Pd4 Pd 0.4325 0.4325 0.3135
Pd5 Pd 0.5675 0.5675 0.6865
Pd6 Pd 0.2904 0.2904 0.9492
Pd7 Pd 0.2688 0.8899 0.2138
Pd8 Pd 0.6730 0.3270 0.0000
Pd9 Pd 0.1101 0.7312 0.7862
Pd10 Pd 0.7312 0.1101 0.7862
```

=====

DFT (GGA-PBE) results for an optimized crystal structure of CuHg2Pd.

Values from the calculation:
Uncorrected energy, eV per atom: -2.29
SG: I-42d, No. 122
ΔH_f (0 K), eV/atom: 0.185

Geometry as CIF:
```
data_CuHg2Pd
_cell_length_a 7.3825
_cell_length_b 7.3825
_cell_length_c 5.9378
_cell_angle_alpha 51.56
_cell_angle_beta 51.56
_cell_angle_gamma 90.00
_symmetry_space_group_name_H-M 'P 1'
_symmetry_Int_Tables_number 1
loop_
_symmetry_equiv_pos_as_xyz
'x,y,z'
loop_
_atom_site_label
_atom_site_type_symbol
_atom_site_fract_x
_atom_site_fract_y
_atom_site_fract_z
Cu1 Cu 0.5000 0.5000 0.0000
Cu2 Cu 0.2500 0.7500 0.5000
Hg1 Hg 0.6090 0.1250 0.2500
Hg2 Hg 0.1410 0.6250 0.2500
Hg3 Hg 0.3750 0.3910 0.7500
Hg4 Hg 0.8750 0.8590 0.7500
Pd1 Pd 0.0000 0.0000 0.0000
Pd2 Pd 0.7500 0.2500 0.5000
```